{"formula": "Cs3SrSb2O8", "functional": "PBE", "state": "optimized geometry", "lattice": [[6.597, 0.000, 0.000], [-3.299, 5.714, 0.000], [0.000, 0.000, 8.580]], "species": ["Cs", "Cs", "Cs", "Sr", "Sb", "Sb", "O", "O", "O", "O", "O", "O", "O", "O"], "fractional_positions": [[0.000, 0.000, 0.000], [0.333, 0.667, 0.692], [0.667, 0.333, 0.308], [0.000, 0.000, 0.500], [0.333, 0.667, 0.249], [0.667, 0.333, 0.751], [0.176, 0.352, 0.324], [0.176, 0.824, 0.324], [0.333, 0.667, 0.026], [0.352, 0.176, 0.676], [0.648, 0.824, 0.324], [0.667, 0.333, 0.974], [0.824, 0.176, 0.676], [0.824, 0.648, 0.676]], "spacegroup": "No. 164", "raw_formation_energy_ev_per_atom": -1.611, "crystal_system": "trigonal"}



{"formula": "LiSeBr", "functional": "PBE", "state": "optimized geometry", "lattice": [[-1.953, 1.953, 5.376], [1.953, -1.953, 5.376], [1.953, 1.953, -5.376]], "species": ["Li", "Se", "Br"], "fractional_positions": [[0.000, 0.000, 0.000], [0.510, 0.510, 0.000], [0.286, 0.286, 0.000]], "spacegroup": "No. 107", "raw_formation_energy_ev_per_atom": -0.526, "crystal_system": "tetragonal"}



{"formula": "Ti2MnN2", "functional": "PBE", "state": "optimized geometry", "lattice": [[-1.978, 1.978, 4.786], [1.978, -1.978, 4.786], [1.978, 1.978, -4.786]], "species": ["Ti", "Ti", "Mn", "N", "N"], "fractional_positions": [[0.250, 0.750, 0.500], [0.750, 0.250, 0.500], [0.000, 0.000, 0.000], [0.198, 0.198, 0.000], [0.802, 0.802, 0.000]], "spacegroup": "No. 139", "raw_formation_energy_ev_per_atom": -0.884, "crystal_system": "tetragonal"}



{"formula": "CsGeBi2O", "functional": "PBE", "state": "optimized geometry", "lattice": [[6.336, 0.000, 0.000], [0.000, 6.336, 0.000], [0.000, 0.000, 3.765]], "species": ["Cs", "Ge", "Bi", "Bi", "O"], "fractional_positions": [[0.000, 0.000, 0.000], [0.500, 0.500, 0.500], [0.000, 0.500, 0.500], [0.500, 0.000, 0.500], [0.500, 0.500, 0.000]], "spacegroup": "No. 123", "raw_formation_energy_ev_per_atom": -0.024, "crystal_system": "tetragonal"}



{"formula": "AgAsBr", "functional": "PBE", "state": "optimized geometry", "lattice": [[3.795, 0.000, 0.000], [-1.898, 3.287, 0.000], [0.000, 0.000, 5.578]], "species": ["Ag", "As", "Br"], "fractional_positions": [[0.000, 0.000, 0.000], [0.333, 0.667, 0.267], [0.667, 0.333, 0.667]], "spacegroup": "No. 156", "raw_formation_energy_ev_per_atom": 0.192, "crystal_system": "trigonal"}



{"formula": "RbTl2Au9", "functional": "PBE", "state": "optimized geometry", "lattice": [[2.917, 1.684, 9.116], [-2.917, 1.684, 9.116], [0.000, -3.369, 9.116]], "species": ["Rb", "Tl", "Tl", "Au", "Au", "Au", "Au", "Au", "Au", "Au", "Au", "Au"], "fractional_positions": [[0.000, 0.000, 0.000], [0.141, 0.141, 0.141], [0.859, 0.859, 0.859], [0.079, 0.586, 0.586], [0.334, 0.334, 0.334], [0.414, 0.414, 0.921], [0.414, 0.921, 0.414], [0.500, 0.500, 0.500], [0.586, 0.079, 0.586], [0.586, 0.586, 0.079], [0.666, 0.666, 0.666], [0.921, 0.414, 0.414]], "spacegroup": "No. 166", "crystal_system": "trigonal", "ef_mev_per_atom": -91}



{"formula": "CaSmCuHg", "functional": "PBE", "state": "optimized geometry", "lattice": [[0.000, 3.677, 3.677], [3.677, 0.000, 3.677], [3.677, 3.677, 0.000]], "species": ["Ca", "Sm", "Cu", "Hg"], "fractional_positions": [[0.000, 0.000, 0.000], [0.500, 0.500, 0.500], [0.750, 0.750, 0.750], [0.250, 0.250, 0.250]], "spacegroup": "No. 216", "crystal_system": "cubic", "ef_mev_per_atom": -297}



{"formula": "Ac5Eu3H12", "functional": "PBE", "state": "optimized geometry", "lattice": [[-7.260, 7.260, 7.260], [7.260, -7.260, 7.260], [7.260, 7.260, -7.260]], "species": ["Ac", "Ac", "Ac", "Ac", "Ac", "Ac", "Ac", "Ac", "Ac", "Ac", "Ac", "Ac", "Ac", "Ac", "Ac", "Ac", "Ac", "Ac", "Ac", "Ac", "Eu", "Eu", "Eu", "Eu", "Eu", "Eu", "Eu", "Eu", "Eu", "Eu", "Eu", "Eu", "H", "H", "H", "H", "H", "H", "H", "H", "H", "H", "H", "H", "H", "H", "H", "H", "H", "H", "H", "H", "H", "H", "H", "H", "H", "H", "H", "H", "H", "H", "H", "H", "H", "H", "H", "H", "H", "H", "H", "H", "H", "H", "H", "H", "H", "H", "H", "H"], "fractional_positions": [[0.000, 0.000, 0.000], [0.000, 0.000, 0.500], [0.000, 0.500, 0.000], [0.000, 0.500, 0.500], [0.125, 0.750, 0.875], [0.125, 0.875, 0.250], [0.250, 0.125, 0.875], [0.250, 0.625, 0.375], [0.375, 0.250, 0.625], [0.375, 0.625, 0.750], [0.500, 0.000, 0.000], [0.500, 0.000, 0.500], [0.500, 0.500, 0.000], [0.500, 0.500, 0.500], [0.625, 0.375, 0.250], [0.625, 0.750, 0.375], [0.750, 0.375, 0.625], [0.750, 0.875, 0.125], [0.875, 0.125, 0.750], [0.875, 0.250, 0.125], [0.125, 0.250, 0.375], [0.125, 0.375, 0.750], [0.250, 0.375, 0.125], [0.250, 0.875, 0.625], [0.375, 0.125, 0.250], [0.375, 0.750, 0.125], [0.625, 0.250, 0.875], [0.625, 0.875, 0.750], [0.750, 0.125, 0.375], [0.750, 0.625, 0.875], [0.875, 0.625, 0.250], [0.875, 0.750, 0.625], [0.063, 0.725, 0.658], [0.063, 0.838, 0.405], [0.066, 0.225, 0.162], [0.066, 0.342, 0.905], [0.095, 0.662, 0.437], [0.095, 0.934, 0.658], [0.158, 0.225, 0.563], [0.158, 0.434, 0.595], [0.162, 0.066, 0.225], [0.162, 0.595, 0.937], [0.225, 0.162, 0.066], [0.225, 0.563, 0.158], [0.275, 0.342, 0.937], [0.275, 0.434, 0.338], [0.338, 0.275, 0.434], [0.338, 0.563, 0.905], [0.342, 0.905, 0.066], [0.342, 0.937, 0.275], [0.405, 0.063, 0.838], [0.405, 0.842, 0.566], [0.434, 0.338, 0.275], [0.434, 0.595, 0.158], [0.437, 0.095, 0.662], [0.437, 0.842, 0.775], [0.563, 0.158, 0.225], [0.563, 0.905, 0.338], [0.566, 0.405, 0.842], [0.566, 0.662, 0.725], [0.595, 0.158, 0.434], [0.595, 0.937, 0.162], [0.658, 0.063, 0.725], [0.658, 0.095, 0.934], [0.662, 0.437, 0.095], [0.662, 0.725, 0.566], [0.725, 0.566, 0.662], [0.725, 0.658, 0.063], [0.775, 0.437, 0.842], [0.775, 0.838, 0.934], [0.838, 0.405, 0.063], [0.838, 0.934, 0.775], [0.842, 0.566, 0.405], [0.842, 0.775, 0.437], [0.905, 0.066, 0.342], [0.905, 0.338, 0.563], [0.934, 0.658, 0.095], [0.934, 0.775, 0.838], [0.937, 0.162, 0.595], [0.937, 0.275, 0.342]], "spacegroup": "No. 230", "dft_energy_ev_per_atom": -4.930, "crystal_system": "cubic"}



{"formula": "Pr4AlSn", "functional": "PBE", "state": "optimized geometry", "lattice": [[4.650, -2.690, 0.000], [4.650, 2.690, 0.000], [-3.108, 0.000, 8.360]], "species": ["Pr", "Pr", "Pr", "Pr", "Al", "Sn"], "fractional_positions": [[0.123, 0.123, 0.370], [0.367, 0.367, 0.100], [0.633, 0.633, 0.900], [0.877, 0.877, 0.630], [0.000, 0.000, 0.000], [0.500, 0.500, 0.500]], "spacegroup": "No. 12", "crystal_system": "monoclinic", "ef_mev_per_atom": -234}



{"formula": "RbRhSe2", "functional": "PBE", "state": "optimized geometry", "lattice": [[5.530, 0.000, 0.000], [-0.030, 7.020, 0.000], [-2.735, -3.199, 6.140]], "species": ["Rb", "Rb", "Rh", "Rh", "Se", "Se", "Se", "Se"], "fractional_positions": [[0.181, 0.139, 0.360], [0.819, 0.861, 0.640], [0.251, 0.500, 0.000], [0.749, 0.500, 0.000], [0.159, 0.611, 0.320], [0.471, 0.195, 0.944], [0.529, 0.805, 0.056], [0.841, 0.389, 0.680]], "spacegroup": "No. 2", "raw_formation_energy_ev_per_atom": -0.614, "crystal_system": "triclinic"}